Entry from the Alexandria database: As2ICl after structural relaxation (PBE-GGA).

Cell and atoms, written as POSCAR:
```
As2ICl
1.0
3.433 -3.728 0.220
2.662 -0.749 4.253
-0.885 -4.097 2.858
I As Cl
1 2 1
Direct
0.500 0.500 0.500 I
0.250 0.250 0.250 As
0.750 0.750 0.750 As
0.000 0.000 0.000 Cl
```

formation energy (no corrections): 2.53 eV/f.u.
excess energy over the best structure of this formula in the dataset: 0.1078 eV per atom
magnetic moment: 0.0 μB/cell
electronic total energy: -2.542 eV per atom
D(E_F): 2.48 states/eV/cell

***

Entry from the Alexandria database: Re2SiAu after structural relaxation (PBE-GGA).

Cell and atoms, written as POSCAR:
```
Re2SiAu
1.0
-1.216 -1.155 2.352
-0.197 -3.394 -1.769
5.029 -1.312 1.956
Au Re Si
1 2 1
Direct
0.500 0.500 0.738 Au
0.000 0.000 0.031 Re
0.500 0.500 0.238 Re
0.000 0.000 0.492 Si
```

formation energy (no corrections): 1.18 eV/f.u.
magnetic moment: 0.0 μB/cell
electronic total energy: -8.103 eV per atom
D(E_F): 2.88 states/eV/cell

***

Entry from the Alexandria database: PrInSe3 after structural relaxation (PBE-GGA).

Cell and atoms, written as POSCAR:
```
PrInSe3
1.0
-0.664 -4.182 0.805
0.059 -1.423 -7.348
10.263 -1.176 2.354
Pr In Se
2 2 6
Direct
0.250 0.288 0.574 Pr
0.750 0.712 0.426 Pr
0.250 0.103 0.142 In
0.750 0.897 0.858 In
0.750 0.035 0.648 Se
0.750 0.550 0.658 Se
0.250 0.965 0.352 Se
0.250 0.450 0.342 Se
0.250 0.776 0.963 Se
0.750 0.224 0.037 Se
```

formation energy (no corrections): -5.80 eV/f.u.
excess energy over the best structure of this formula in the dataset: 0.0000 eV per atom
magnetic moment: 0.0 μB/cell
electronic total energy: -4.755 eV per atom

***

Entry from the Alexandria database: Tb2Y5TmTh after structural relaxation (PBE-GGA).

Cell and atoms, written as POSCAR:
```
Tb2Y5TmTh
1.0
-3.864 -4.009 -1.112
-0.006 1.051 10.727
-7.114 7.050 -0.695
Tb Y Tm Th
4 10 2 2
Direct
0.889 0.779 0.817 Tb
0.120 0.240 0.724 Tb
0.111 0.221 0.317 Tb
0.880 0.760 0.224 Tb
0.381 0.761 0.030 Y
0.734 0.468 0.834 Y
0.478 0.956 0.740 Y
0.302 0.604 0.706 Y
0.985 0.969 0.514 Y
0.619 0.239 0.530 Y
0.266 0.532 0.334 Y
0.522 0.044 0.240 Y
0.698 0.396 0.206 Y
0.015 0.031 0.014 Y
0.597 0.193 0.939 Tm
0.403 0.807 0.439 Tm
0.809 0.619 0.520 Th
0.191 0.381 0.020 Th
```

magnetic moment: 0.0 μB/cell
calculated formation energy: 0.155 eV per atom
electronic total energy: -5.786 eV per atom
D(E_F): 29.73 states/eV/cell

***

Entry from the Alexandria database: FeCu2As after structural relaxation (PBE-GGA).

Cell and atoms, written as POSCAR:
```
FeCu2As
1.0
5.492 0.000 0.000
0.000 5.492 0.000
2.746 2.746 5.342
As Fe Cu
2 2 4
Direct
0.000 0.000 0.000 As
0.750 0.250 0.500 As
0.500 0.500 0.000 Fe
0.250 0.750 0.500 Fe
0.636 0.125 0.250 Cu
0.114 0.625 0.250 Cu
0.375 0.364 0.750 Cu
0.875 0.886 0.750 Cu
```

magnetic moment: 6.8 μB/cell
calculated formation energy: 0.917 eV per atom
electronic total energy: -4.409 eV per atom
D(E_F): 7.17 states/eV/cell

***

Entry from the Alexandria database: Tl2Hg5I2 after structural relaxation (PBE-GGA).

Cell and atoms, written as POSCAR:
```
Tl2Hg5I2
1.0
-0.346 4.871 0.339
-2.046 1.497 11.881
10.061 2.751 6.228
Tl Hg I
4 10 4
Direct
0.000 0.065 0.935 Tl
0.500 0.565 0.435 Tl
0.748 0.315 0.185 Tl
0.252 0.815 0.685 Tl
0.301 0.764 0.133 Hg
0.699 0.867 0.236 Hg
0.301 0.263 0.633 Hg
0.699 0.367 0.737 Hg
0.100 0.965 0.334 Hg
0.900 0.666 0.035 Hg
0.100 0.465 0.835 Hg
0.900 0.165 0.535 Hg
0.500 0.565 0.935 Hg
0.500 0.065 0.435 Hg
0.870 0.690 0.560 I
0.130 0.440 0.310 I
0.381 0.190 0.060 I
0.619 0.940 0.810 I
```

formation energy (no corrections): -1.99 eV/f.u.
magnetic moment: 0.0 μB/cell
electronic total energy: -1.259 eV per atom
D(E_F): 3.06 states/eV/cell